Computed, not measured: an optimized crystal structure of Cs2VSiI6 at the PBE level of DFT. Values from VASP.

```
&SYSTEM
  ibrav = 0, nat = 10, ntyp = 4
/
ATOMIC_SPECIES
I 126.90 I.upf
Cs 132.91 Cs.upf
V 50.94 V.upf
Si 28.09 Si.upf
CELL_PARAMETERS angstrom
-1.680 7.165 3.758
-0.240 -3.881 7.292
4.758 2.613 6.230
ATOMIC_POSITIONS angstrom
I 1.931 2.133 5.882
I -0.596 -1.151 6.418
I 0.906 3.765 11.399
I -1.325 4.435 4.631
I -1.446 2.473 8.319
I -0.475 0.812 2.731
Cs 1.779 0.187 9.523
Cs 1.058 5.710 7.757
V 0.000 0.000 0.000
Si -0.960 1.642 5.525
```

Output
Space-group type: Fm-3m
Total magnetic moment in μB per atom: 0.3000
Formation energy without anion corrections in meV/atom: -716

---

Computed, not measured: an optimized crystal structure of Al3In4 at the PBE level of DFT. Values from VASP.

```
&SYSTEM
  ibrav = 0, nat = 7, ntyp = 2
/
ATOMIC_SPECIES
In 114.82 In.upf
Al 26.98 Al.upf
CELL_PARAMETERS angstrom
2.804 -4.856 0.000
2.804 4.856 0.000
0.000 0.000 5.926
ATOMIC_POSITIONS angstrom
In 2.804 -1.619 2.963
In 0.000 0.000 4.426
In 2.804 1.619 2.963
In 0.000 0.000 1.500
Al 1.402 -2.428 0.000
Al 1.402 2.428 0.000
Al 2.804 0.000 0.000
```

Output
Space-group type: P6/mmm
Total magnetic moment in μB per atom: 0.0000
Formation enthalpy at 0 K in eV/f.u.: 0.9